Computed, not measured: ScAlZnO4 after structural relaxation at the PBE level of DFT.

Computed properties:
The value obtained for the volume is 11.01 A^3/atom. As for the uncorrected formation energy: -2.7162 eV per atom.

a b c (Å): 5.9100 6.0189 6.0189
angles (deg): 61.18 60.60 60.60
Atoms (fractional coordinates):
Sc1 0.0000 0.5000 0.5000
Sc2 0.0000 0.0000 0.0000
Zn1 0.3766 0.3734 0.8734
Zn2 0.6234 0.6266 0.1266
O1 0.2604 0.2271 0.7271
O2 0.7854 0.2271 0.7271
O3 0.7396 0.7729 0.2729
O4 0.7524 0.7826 0.7125
O5 0.2476 0.2174 0.2875
O6 0.2146 0.7729 0.2729
O7 0.2476 0.7875 0.7174
O8 0.7524 0.2125 0.2826
Al1 0.0000 0.0000 0.5000
Al2 0.5000 0.0000 0.5000